(1)
# Pr2CI3

A geometry-optimized Pr2CI3 structure (PBE, Alexandria via LeMat-Bulk).

The structure in POSCAR format:
```
Pr2CI3
1.0
9.6937 -2.0950 0.0000
9.6937 2.0950 0.0000
-3.6245 0.0000 11.1052
Pr C I
4 2 6
direct
0.0646 0.0646 0.1947
0.3849 0.3849 0.0579
0.6151 0.6151 0.9421
0.9354 0.9354 0.8053
0.4801 0.4801 0.9421
0.5199 0.5199 0.0579
0.0771 0.0771 0.7213
0.2186 0.2186 0.1347
0.3631 0.3631 0.5997
0.6369 0.6369 0.4003
0.7814 0.7814 0.8653
0.9229 0.9229 0.2787
```

Summary:
Crystal system: monoclinic
DFT total energy in eV per formula unit: -29.727
Energy relative to the elements, uncorrected in meV per atom: -1049



(2)
# Pr7C3I10

A geometry-optimized Pr7C3I10 structure (PBE, Alexandria via LeMat-Bulk).

The structure in POSCAR format:
```
Pr7C3I10
1.0
9.8067 0.0000 0.0000
4.7908 10.8947 0.0000
4.4887 0.7931 13.3301
Pr C I
14 6 20
direct
0.0420 0.2947 0.3063
0.1241 0.5709 0.3584
0.2466 0.4507 0.0785
0.3348 0.7409 0.0996
0.3667 0.2260 0.4117
0.4516 0.0819 0.1657
0.4518 0.6148 0.8250
0.5482 0.3852 0.1750
0.5484 0.9181 0.8343
0.6333 0.7740 0.5883
0.6652 0.2591 0.9004
0.7534 0.5493 0.9215
0.8759 0.4291 0.6416
0.9580 0.7053 0.6937
0.2563 0.3890 0.2737
0.3322 0.2765 0.2285
0.4622 0.5561 0.0226
0.5378 0.4439 0.9774
0.6678 0.7235 0.7715
0.7437 0.6110 0.7263
0.0055 0.7177 0.1689
0.0648 0.1613 0.5192
0.1032 0.5772 0.8779
0.1453 0.0261 0.2257
0.2135 0.4537 0.5684
0.2195 0.8902 0.9095
0.3152 0.7431 0.6282
0.3569 0.1951 0.9577
0.4303 0.6307 0.3028
0.4600 0.0596 0.6373
0.5400 0.9404 0.3627
0.5697 0.3693 0.6972
0.6431 0.8049 0.0423
0.6848 0.2569 0.3718
0.7805 0.1098 0.0905
0.7865 0.5463 0.4316
0.8547 0.9739 0.7743
0.8968 0.4228 0.1221
0.9352 0.8387 0.4808
0.9945 0.2823 0.8311
```

Summary:
Crystal system: triclinic
DFT total energy in eV per formula unit: -99.825
Energy relative to the elements, uncorrected in meV per atom: -1160



(3)
# Pr4PtCI2

A geometry-optimized Pr4PtCI2 structure (PBE, Alexandria via LeMat-Bulk).

The structure in POSCAR format:
```
Pr4PtCI2
1.0
7.4075 0.0000 0.0000
0.0000 4.0500 0.0000
-2.3448 0.0000 7.8837
Pr Pt C I
4 1 1 2
direct
0.1991 0.0000 0.1785
0.2496 0.5000 0.8183
0.7504 0.5000 0.1817
0.8009 0.0000 0.8215
0.5000 0.0000 0.0000
0.0000 0.5000 0.0000
0.0000 0.0000 0.5000
0.5000 0.5000 0.5000
```

Summary:
Crystal system: monoclinic
DFT total energy in eV per formula unit: -43.971
Energy relative to the elements, uncorrected in meV per atom: -811



> Which of these has the highest DFT total energy?

Pr2CI3



> Number 3 is which compound?

Pr4PtCI2



> Number 1 is which compound?

Pr2CI3